Here is an optimized crystal structure of CuNi2IO6 from Alexandria via LeMat-Bulk. Energies are from PBE with a Hubbard U.

Geometry as CIF:
```
data_CuNi2IO6
_space_group_name_H-M_alt 'P n n m'
_space_group_IT_number 58
_cell_length_a 5.112
_cell_length_b 5.229
_cell_length_c 8.507
_cell_angle_alpha 90.00
_cell_angle_beta 90.00
_cell_angle_gamma 90.00
loop_
_space_group_symop_operation_xyz
'x,y,z'
'-x,-y,-z'
'-x,-y,z'
'x,y,-z'
'x+1/2,-y+1/2,-z+1/2'
'-x+1/2,y+1/2,z+1/2'
'-x+1/2,y+1/2,-z+1/2'
'x+1/2,-y+1/2,z+1/2'
loop_
_atom_site_label
_atom_site_fract_x
_atom_site_fract_y
_atom_site_fract_z
_atom_site_occupancy
Cu1 0.000 0.000 0.000 1
Ni1 0.000 0.500 0.302 1
I1 0.000 0.000 0.500 1
O1 0.188 0.321 0.500 1
O2 0.219 0.839 0.341 1
```

Properties
The crystal system is orthorhombic. Its electronic total energy is -4.649 eV per atom. The volume comes out at 11.37 Å³/atom.